Record 1
Here is a relaxed structure of Pm2Rh2Pb3 from Alexandria. Energies are from PBE.

## Properties
* E above lowest polymorph: 0.0079 eV per atom

abc: 4.4517 5.8044 7.8102
angles: 111.52 90.00 112.55
Last column: nearest neighbours and their distance in Å.
Fractional coordinates of all 7 atoms:
Pm 0.1501 0.3001 0.8022  4 Rh 3.11-3.19, 5 Pb 3.44-3.48
Pm 0.8499 0.6999 0.1978  4 Rh 3.11-3.19, 5 Pb 3.44-3.48
Pb 0.6270 0.2541 0.4484  3 Rh 2.83-3.01, 1 Pb 3.13
Pb 0.5000 0.0000 0.0000  4 Rh 2.83
Pb 0.3730 0.7459 0.5516  3 Rh 2.83-3.01, 1 Pb 3.13
Rh 0.8515 0.7029 0.7979  5 Pb 2.83-3.01, 3 Pm 3.11-3.13
Rh 0.1485 0.2971 0.2021  5 Pb 2.83-3.01, 3 Pm 3.11-3.13

=====

Record 2
Here is a relaxed structure of Pm5RhPb2 from Alexandria. Energies are from PBE.

## Properties
* E above lowest polymorph: 0.0000 eV per atom

abc: 4.7022 8.2139 12.5286
angles: 90.00 90.00 90.00
Last column: nearest neighbours and their distance in Å.
Fractional coordinates of all 16 atoms:
Pm 0.5000 0.1867 0.0665  2 Rh 2.93
Pm 0.5000 0.6867 0.4335  2 Rh 2.93
Pm 0.0000 0.6345 0.7017  1 Rh 2.76
Pm 0.0000 0.0000 0.5000  4 Pb 3.26, 4 Pm 3.58
Pm 0.0000 0.1345 0.7983  1 Rh 2.76
Pm 0.0000 0.3655 0.2983  1 Rh 2.76
Pm 0.5000 0.8133 0.9335  2 Rh 2.93
Pm 0.0000 0.5000 0.0000  4 Pb 3.26, 4 Pm 3.58
Pm 0.0000 0.8655 0.2017  1 Rh 2.76
Pm 0.5000 0.3133 0.5665  2 Rh 2.93
Pb 0.5000 0.5794 0.1722  9 Pm 3.26-3.55
Pb 0.5000 0.9206 0.6722  9 Pm 3.26-3.55
Pb 0.5000 0.4206 0.8278  9 Pm 3.26-3.55
Pb 0.5000 0.0794 0.3278  9 Pm 3.26-3.55
Rh 0.0000 0.0000 0.0000  6 Pm 2.76-2.93
Rh 0.0000 0.5000 0.5000  6 Pm 2.76-2.93

=====

Record 3
Here is a relaxed structure of Pm3Rh3Pb from Alexandria. Energies are from PBE.

## Properties
* E above lowest polymorph: 0.0000 eV per atom

abc: 4.5249 5.7550 13.5161
angles: 90.00 90.00 113.15
Last column: nearest neighbours and their distance in Å.
Fractional coordinates of all 14 atoms:
Pm 0.8006 0.6013 0.3943  6 Rh 2.95-3.13
Pm 0.4777 0.9555 0.7500  5 Rh 2.83-3.16
Pm 0.1994 0.3987 0.6057  6 Rh 2.95-3.13
Pm 0.1994 0.3987 0.8943  6 Rh 2.95-3.13
Pm 0.5223 0.0445 0.2500  5 Rh 2.83-3.16
Pm 0.8006 0.6013 0.1057  6 Rh 2.95-3.13
Rh 0.0962 0.1925 0.4028  1 Rh 2.66, 2 Pb 2.81, 1 Pm 2.95
Rh 0.2546 0.5092 0.2500  2 Rh 2.66, 1 Pm 2.83
Rh 0.9038 0.8075 0.9028  1 Rh 2.66, 2 Pb 2.81, 1 Pm 2.95
Rh 0.9038 0.8075 0.5972  1 Rh 2.66, 2 Pb 2.81, 1 Pm 2.95
Rh 0.7454 0.4908 0.7500  2 Rh 2.66, 1 Pm 2.83
Rh 0.0962 0.1925 0.0972  1 Rh 2.66, 2 Pb 2.81, 1 Pm 2.95
Pb 0.5000 0.0000 0.0000  4 Rh 2.81
Pb 0.5000 0.0000 0.5000  4 Rh 2.81

=====

Record 4
Here is a relaxed structure of Pm2Rh3Pb from Alexandria. Energies are from PBE.

## Properties
* E above lowest polymorph: 0.1137 eV per atom

abc: 4.7689 5.5704 6.2031
angles: 116.68 112.61 90.00
Last column: nearest neighbours and their distance in Å.
Fractional coordinates of all 6 atoms:
Pm 0.6783 0.1783 0.3566  6 Rh 2.81-2.98
Pm 0.3217 0.8217 0.6434  6 Rh 2.81-2.98
Rh 0.6434 0.6434 0.2868  2 Pb 2.78, 4 Pm 2.81-2.98, 1 Rh 2.87
Rh 0.3566 0.3566 0.7132  2 Pb 2.78, 4 Pm 2.81-2.98, 1 Rh 2.87
Rh 0.0000 0.0000 0.0000  2 Pb 2.79, 4 Pm 2.98
Pb 0.0000 0.5000 0.0000  6 Rh 2.78-2.79

=====

Record 5
Here is a relaxed structure of Pm4RhPb3 from Alexandria. Energies are from PBE.

## Properties
* E above lowest polymorph: 0.0222 eV per atom

abc: 4.4270 4.5831 11.5093
angles: 90.00 90.00 90.00
Last column: nearest neighbours and their distance in Å.
Fractional coordinates of all 8 atoms:
Pm 0.5000 0.5000 0.3294  1 Rh 2.80
Pm 0.0000 0.5000 0.8871  2 Rh 3.19, 5 Pb 3.21-3.30
Pm 0.5000 0.0000 0.6372  7 Pb 3.21-3.45
Pm 0.0000 0.0000 0.1337  3 Pb 3.15-3.32, 4 Rh 3.23
Pb 0.0000 0.5000 0.6006  2 Pb 3.19, 5 Pm 3.21-3.30
Pb 0.5000 0.0000 0.9185  2 Rh 3.00, 7 Pm 3.21-3.32
Pb 0.0000 0.0000 0.4073  7 Pm 3.15-3.45, 2 Pb 3.19
Rh 0.5000 0.5000 0.0862  1 Pm 2.80, 2 Pb 3.00

=====

Record 6
Here is a relaxed structure of Pm7RhPb2 from Alexandria. Energies are from PBE.

abc: 7.8268 7.8268 7.8268
angles: 60.00 60.00 60.00
Last column: nearest neighbours and their distance in Å.
Fractional coordinates of all 10 atoms:
Pm 0.7571 0.2429 0.2429  1 Rh 2.69, 1 Pm 2.85
Pm 0.2429 0.2429 0.7571  1 Rh 2.69, 1 Pm 2.85
Pm 0.7571 0.2429 0.7571  1 Rh 2.69, 1 Pm 2.85
Pm 0.7571 0.7571 0.2429  1 Rh 2.69, 1 Pm 2.85
Pm 0.2429 0.7571 0.7571  1 Rh 2.69, 1 Pm 2.85
Pm 0.2429 0.7571 0.2429  1 Rh 2.69, 1 Pm 2.85
Pm 0.5000 0.5000 0.5000  6 Pm 2.85
Pb 0.7500 0.7500 0.7500  12 Pm 3.91
Pb 0.2500 0.2500 0.2500  12 Pm 3.91
Rh 0.0000 0.0000 0.0000  6 Pm 2.69

=====

Record 7
Here is a relaxed structure of Pm5Rh5Pb2 from Alexandria. Energies are from PBE.

abc: 3.8710 7.2634 11.2524
angles: 100.49 90.00 105.45
Last column: nearest neighbours and their distance in Å.
Fractional coordinates of all 12 atoms:
Rh 0.1146 0.2292 0.3888  1 Pb 2.80, 5 Pm 2.83-2.96
Rh 0.7129 0.4258 0.8135  2 Pb 2.88, 5 Pm 2.91-2.99
Rh 0.8854 0.7708 0.6112  1 Pb 2.80, 5 Pm 2.83-2.96
Rh 0.2871 0.5742 0.1865  2 Pb 2.88, 5 Pm 2.91-2.99
Rh 0.0000 0.0000 0.0000  2 Pb 2.71, 4 Pm 2.79
Pm 0.5000 0.0000 0.5000  4 Rh 2.94
Pm 0.2422 0.4844 0.6310  5 Rh 2.83-2.96
Pm 0.6451 0.2903 0.0496  5 Rh 2.79-2.99
Pm 0.3549 0.7097 0.9504  5 Rh 2.79-2.99
Pm 0.7578 0.5156 0.3690  5 Rh 2.83-2.96
Pb 0.9419 0.8838 0.2168  4 Rh 2.71-2.88
Pb 0.0581 0.1162 0.7832  4 Rh 2.71-2.88

=====

Record 8
Here is a relaxed structure of Pm3Rh2Pb2 from Alexandria. Energies are from PBE.

abc: 3.6429 6.6533 8.4735
angles: 113.62 90.00 105.89
Last column: nearest neighbours and their distance in Å.
Fractional coordinates of all 7 atoms:
Pb 0.1508 0.3017 0.8181  2 Rh 2.96
Pb 0.8492 0.6983 0.1819  2 Rh 2.96
Pm 0.6193 0.2385 0.4463  3 Rh 2.84-2.92
Pm 0.3807 0.7615 0.5537  3 Rh 2.84-2.92
Pm 0.5000 0.0000 0.0000  4 Rh 2.97
Rh 0.1833 0.3667 0.2320  5 Pm 2.84-2.97, 2 Pb 2.96
Rh 0.8167 0.6333 0.7680  5 Pm 2.84-2.97, 2 Pb 2.96

=====

Record 9
Here is a relaxed structure of Pm4RhPb3 from Alexandria. Energies are from PBE.

## Properties
* E above lowest polymorph: 0.0000 eV per atom

abc: 3.5838 3.5838 17.3482
angles: 90.00 90.00 90.00
Last column: nearest neighbours and their distance in Å.
Fractional coordinates of all 8 atoms:
Pb 0.5000 0.5000 0.7651  8 Pm 3.41-3.48, 4 Pb 3.58
Pb 0.5000 0.5000 0.2349  8 Pm 3.41-3.48, 4 Pb 3.58
Pb 0.5000 0.5000 0.5000  8 Pm 3.43, 4 Pb 3.58
Pm 0.0000 0.0000 0.6334  8 Pb 3.41-3.43, 4 Pm 3.58
Pm 0.0000 0.0000 0.0975  4 Rh 3.05, 1 Pm 3.38
Pm 0.0000 0.0000 0.9025  4 Rh 3.05, 1 Pm 3.38
Pm 0.0000 0.0000 0.3666  8 Pb 3.41-3.43, 4 Pm 3.58
Rh 0.5000 0.5000 0.0000  8 Pm 3.05

=====

Record 10
Here is a relaxed structure of Pm4Rh3Pb8 from Alexandria. Energies are from PBE.

abc: 4.6561 4.6561 18.5469
angles: 90.00 90.00 90.00
Last column: nearest neighbours and their distance in Å.
Fractional coordinates of all 15 atoms:
Rh 0.5000 0.5000 0.5000  4 Pb 2.86, 4 Pm 3.08
Rh 0.0000 0.0000 0.0000  4 Pb 2.84, 4 Pm 2.92
Rh 0.0000 0.0000 0.5000  4 Pb 2.86, 4 Pm 3.08
Pb 0.5000 0.0000 0.5900  4 Rh 2.86
Pb 0.5000 0.5000 0.7649  6 Pb 3.30-3.58, 2 Pm 3.49
Pb 0.0000 0.0000 0.2446  4 Pb 3.30, 4 Pm 3.57-3.62
Pb 0.5000 0.0000 0.0881  2 Rh 2.84
Pb 0.0000 0.0000 0.7554  4 Pb 3.30, 4 Pm 3.57-3.62
Pb 0.0000 0.5000 0.4100  4 Rh 2.86
Pb 0.0000 0.5000 0.9119  2 Rh 2.84
Pb 0.5000 0.5000 0.2351  6 Pb 3.30-3.58, 2 Pm 3.49
Pm 0.5000 0.0000 0.3909  4 Rh 3.08, 4 Pb 3.31
Pm 0.0000 0.5000 0.6091  4 Rh 3.08, 4 Pb 3.31
Pm 0.0000 0.5000 0.0949  2 Rh 2.92
Pm 0.5000 0.0000 0.9051  2 Rh 2.92

=====

Number 1: E -5.49 eV/atom, ΔE_f -0.44 eV/atom, size of the total moment 0.000 μB/f.u.. Number 2: E -5.38 eV/atom, ΔE_f -0.56 eV/atom, size of the total moment 0.000 μB/f.u.. Number 3: E -6.36 eV/atom, ΔE_f -0.65 eV/atom, size of the total moment 0.000 μB/f.u.. Number 4: E -6.21 eV/atom, ΔE_f -0.34 eV/atom, size of the total moment 0.000 μB/f.u.. Number 5: E -5.22 eV/atom, ΔE_f -0.54 eV/atom, size of the total moment 0.000 μB/f.u.. Number 6: E -4.73 eV/atom, ΔE_f 0.07 eV/atom, size of the total moment 0.000 μB/f.u.. Number 7: E -6.14 eV/atom, ΔE_f -0.48 eV/atom, size of the total moment 0.000 μB/f.u.. Number 8: E -5.65 eV/atom, ΔE_f -0.45 eV/atom, size of the total moment 0.000 μB/f.u.. Number 9: E -5.24 eV/atom, ΔE_f -0.56 eV/atom, size of the total moment 0.000 μB/f.u.. Number 10: E -5.12 eV/atom, ΔE_f -0.40 eV/atom, size of the total moment 0.000 μB/f.u..